{"formula": "ScCuP", "functional": "PBE", "state": "relaxed", "e_tot_ev_per_cell": -18.52, "total_magnetization_mub_per_atom": 0.0000, "e_form_mev_per_atom": -895, "lattice_angstrom": [[3.846, 0.000, 0.000], [-1.923, 3.331, 0.000], [0.000, 0.000, 3.659]], "species": ["Sc", "Cu", "P"], "fractional_positions": [[0.000, 0.000, 0.000], [0.667, 0.333, 0.500], [0.333, 0.667, 0.500]]}



{"formula": "ScCuP", "functional": "PBE", "state": "relaxed", "e_tot_ev_per_cell": -16.99, "total_magnetization_mub_per_atom": 0.0000, "e_form_mev_per_atom": -385, "lattice_angstrom": [[0.000, 2.614, 4.679], [2.018, 0.000, 4.679], [2.018, 2.614, 0.000]], "species": ["Sc", "Cu", "P"], "fractional_positions": [[0.000, 0.000, 0.000], [0.697, 0.697, 0.303], [0.322, 0.322, 0.678]]}